# HoTm5Sc4

A relaxed structure of HoTm5Sc4 (GGA-PBE, the Alexandria database).

The energy of formation from the pure elements is 0.340 eV/atom. For the energy above the most stable polymorph in this dataset, the calculation gives 0.042 eV per atom.

It has space group I4 (No. 79), with a = 9.735 Å, b = 9.735 Å, c = 6.084 Å, α = 90.00°, β = 90.00° and γ = 90.00°. The inequivalent atoms are Ho at (0.000, 0.000, 0.000), Tm at (0.000, 0.000, 0.542), Tm at (0.146, 0.243, 0.272) and Sc at (0.055, 0.357, 0.771).